Here is crystalline Nd2CoRe2N6 at its relaxed geometry from the Alexandria database. Energies are from GGA-PBE.

Cell lengths 5.8737, 5.8737, 6.2124 Å; angles 61.79, 61.79, 60.00 degrees
Last column: nearest neighbours and their distance in Å.
Sites, in units of the cell vectors:
N 0.7722 0.2288 0.7701  1 Re 1.85, 1 Co 1.96
N 0.2288 0.2288 0.7701  1 Re 1.85, 1 Co 1.96
Nd 0.7996 0.7996 0.6013  3 N 2.48
Re 0.5771 0.5771 0.2688  3 N 1.85
Nd 0.2004 0.2004 0.3987  3 N 2.48
N 0.7712 0.7712 0.2299  1 Re 1.85, 1 Co 1.96
N 0.2278 0.7712 0.2299  1 Re 1.85, 1 Co 1.96
Re 0.4229 0.4229 0.7312  3 N 1.85
N 0.7712 0.2278 0.2299  1 Re 1.85, 1 Co 1.96
Co 0.0000 0.0000 0.0000  6 N 1.96
N 0.2288 0.7722 0.7701  1 Re 1.85, 1 Co 1.96

Uncorrected formation energy, eV per atom: -0.21
Space group: R-3m
Total magnetization, μB/atom: 0.000
Raw total energy, eV per atom: -8.5250
Density of states at the Fermi level, states/eV per cell: 6.09